Entry 1:
Computed, not measured: a relaxed Ac8PmPb5 crystal at the PBE level of DFT.

Summary:
Energy relative to the elements in eV/atom: -0.34

a b c (Å): 8.9493 8.9493 8.9493
angles (deg): 109.32 109.32 109.78
Closest atoms and distances in Å follow each position.
Sites, in units of the cell vectors:
Ac 0.0311 0.1279 0.7612  5 Pb 3.43-3.73, 1 Pm 3.56, 1 Ac 3.77
Ac 0.2463 0.4845 0.6086  5 Pb 3.41-3.75, 1 Pm 3.82
Ac 0.3623 0.7537 0.2381  5 Pb 3.41-3.75, 1 Pm 3.82
Ac 0.3666 0.2699 0.2388  5 Pb 3.43-3.73, 1 Pm 3.56, 1 Ac 3.77
Ac 0.5155 0.1242 0.7619  5 Pb 3.41-3.75, 1 Pm 3.82
Ac 0.7301 0.9689 0.0967  5 Pb 3.43-3.73, 1 Pm 3.56, 1 Ac 3.77
Ac 0.8721 0.6334 0.9033  5 Pb 3.43-3.73, 1 Pm 3.56, 1 Ac 3.77
Ac 0.8758 0.6377 0.3914  5 Pb 3.41-3.75, 1 Pm 3.82
Pm 0.7500 0.2500 0.5000  8 Ac 3.56-3.82
Pb 0.1350 0.0114 0.3820  8 Ac 3.41-3.75
Pb 0.2469 0.8650 0.8764  8 Ac 3.41-3.75
Pb 0.5000 0.5000 0.0000  8 Ac 3.41-3.63
Pb 0.6295 0.7531 0.6180  8 Ac 3.41-3.75
Pb 0.9886 0.3705 0.1236  8 Ac 3.41-3.75

=====

Entry 2:
Computed, not measured: a relaxed K4Mg3H10 crystal at the PBE level of DFT.

a b c (Å): 14.9872 14.9872 14.9872
angles (deg): 164.65 164.65 21.77
Closest atoms and distances in Å follow each position.
Sites, in units of the cell vectors:
K 0.0677 0.0677 0.0000  12 H 2.82-2.83
K 0.2017 0.2017 0.0000  9 H 2.78-2.83
K 0.7983 0.7983 0.0000  9 H 2.78-2.83
K 0.9323 0.9323 0.0000  12 H 2.82-2.83
Mg 0.3638 0.3638 0.0000  6 H 1.99-2.01
Mg 0.5000 0.5000 0.0000  6 H 2.00
Mg 0.6362 0.6362 0.0000  6 H 1.99-2.01
H 0.0000 0.5000 0.5000  2 Mg 2.00
H 0.1357 0.6357 0.5000  2 Mg 2.00
H 0.2961 0.2961 0.0000  1 Mg 1.99
H 0.3643 0.8643 0.5000  2 Mg 2.00
H 0.4321 0.4321 0.0000  2 Mg 2.00-2.01
H 0.5000 0.0000 0.5000  2 Mg 2.00
H 0.5679 0.5679 0.0000  2 Mg 2.00-2.01
H 0.6357 0.1357 0.5000  2 Mg 2.00
H 0.7039 0.7039 0.0000  1 Mg 1.99
H 0.8643 0.3643 0.5000  2 Mg 2.00

=====

Entry 3:
Computed, not measured: a relaxed Tl3AuBr6 crystal at the PBE level of DFT.

Summary:
Distance to the lowest polymorph of the same formula in eV/f.u.: 0.065
Raw formation energy in eV/f.u.: -5.8

a b c (Å): 9.8691 9.8691 8.2991
angles (deg): 90.00 90.00 80.74
Closest atoms and distances in Å follow each position.
Sites, in units of the cell vectors:
Tl 0.0966 0.9034 0.5000  5 Br 3.25-3.37
Tl 0.1685 0.3782 0.4766  3 Br 3.12-3.45
Tl 0.3782 0.1685 0.9766  3 Br 3.12-3.45
Tl 0.6218 0.8315 0.4766  3 Br 3.12-3.45
Tl 0.8315 0.6218 0.9766  3 Br 3.12-3.45
Tl 0.9034 0.0966 0.0000  5 Br 3.25-3.37
Au 0.3415 0.6585 0.0198  4 Br 2.48-2.49
Au 0.6585 0.3415 0.5198  4 Br 2.48-2.49
Br 0.1356 0.1548 0.7399  4 Tl 3.12-3.27
Br 0.1548 0.1356 0.2399  4 Tl 3.12-3.27
Br 0.1813 0.4885 0.0198  1 Au 2.48
Br 0.3169 0.6831 0.7226  1 Au 2.49
Br 0.3583 0.6417 0.3182  1 Au 2.49
Br 0.4885 0.1813 0.5198  1 Au 2.48
Br 0.5115 0.8187 0.0198  1 Au 2.48
Br 0.6417 0.3583 0.8182  1 Au 2.49
Br 0.6831 0.3169 0.2226  1 Au 2.49
Br 0.8187 0.5115 0.5198  1 Au 2.48
Br 0.8452 0.8644 0.7399  4 Tl 3.12-3.27
Br 0.8644 0.8452 0.2399  4 Tl 3.12-3.27

=====

Entry 4:
Computed, not measured: a relaxed Th2Fe17C2 crystal at the PBE level of DFT.

Summary:
Energy relative to the elements in eV/atom: -0.05

a b c (Å): 6.5253 6.5253 6.5070
angles (deg): 96.54 96.54 84.22
Closest atoms and distances in Å follow each position.
Sites, in units of the cell vectors:
Th 0.1497 0.1497 0.3254  2 C 2.58
Th 0.8503 0.8503 0.6746  2 C 2.58
Fe 0.0000 0.5000 0.0000  10 Fe 2.43-2.66
Fe 0.1561 0.6466 0.3404  1 C 1.92
Fe 0.1593 0.1593 0.8522  9 Fe 2.49-2.77
Fe 0.2169 0.4964 0.7134  1 C 1.87
Fe 0.2256 0.7744 0.0000  8 Fe 2.43-2.68
Fe 0.3534 0.8439 0.6596  1 C 1.92
Fe 0.4038 0.4038 0.0941  5 Fe 2.38-2.66
Fe 0.4964 0.2169 0.7134  1 C 1.87
Fe 0.5000 0.0000 0.0000  10 Fe 2.43-2.66
Fe 0.5000 0.5000 0.5000  10 Fe 2.44-2.66
Fe 0.5036 0.7831 0.2866  1 C 1.87
Fe 0.5962 0.5962 0.9059  5 Fe 2.38-2.66
Fe 0.6466 0.1561 0.3404  1 C 1.92
Fe 0.7744 0.2256 0.0000  8 Fe 2.43-2.68
Fe 0.7831 0.5036 0.2866  1 C 1.87
Fe 0.8407 0.8407 0.1478  9 Fe 2.49-2.77
Fe 0.8439 0.3534 0.6596  1 C 1.92
C 0.0000 0.5000 0.5000  4 Fe 1.87-1.92
C 0.5000 0.0000 0.5000  4 Fe 1.87-1.92

=====

Entry 5:
Computed, not measured: a relaxed PuPI crystal at the PBE level of DFT.

Summary:
Distance to the lowest polymorph of the same formula in eV/f.u.: 0.000
Raw formation energy in eV/f.u.: -2.6

a b c (Å): 3.7541 3.8477 11.9630
angles (deg): 90.00 90.13 90.00
Closest atoms and distances in Å follow each position.
Sites, in units of the cell vectors:
Pu 0.0010 0.2500 0.1474  6 P 2.93-3.02
Pu 0.9990 0.7500 0.8526  6 P 2.93-3.02
P 0.4999 0.2500 0.9497  2 P 2.27
P 0.5001 0.7500 0.0503  2 P 2.27
I 0.4988 0.2500 0.6771  1 P 3.26, 4 Pu 3.41
I 0.5012 0.7500 0.3229  1 P 3.26, 4 Pu 3.41

=====

Entry 6:
Computed, not measured: a relaxed KTl6In5 crystal at the PBE level of DFT.

Summary:
Energy relative to the elements in eV/atom: 0.00

a b c (Å): 8.3311 8.3311 9.5005
angles (deg): 90.00 90.00 146.85
Closest atoms and distances in Å follow each position.
Sites, in units of the cell vectors:
K 0.0000 0.0000 0.0000  8 Tl 3.58-3.60, 4 In 3.72
Tl 0.1674 0.8326 0.2540  7 In 3.34-3.55, 4 Tl 3.55-3.59, 1 K 3.60
Tl 0.1674 0.8326 0.7460  7 In 3.34-3.55, 4 Tl 3.55-3.59, 1 K 3.60
Tl 0.5000 0.5000 0.2813  4 In 3.16-3.50
Tl 0.5000 0.5000 0.7187  4 In 3.16-3.50
Tl 0.8326 0.1674 0.2540  7 In 3.34-3.55, 4 Tl 3.55-3.59, 1 K 3.60
Tl 0.8326 0.1674 0.7460  7 In 3.34-3.55, 4 Tl 3.55-3.59, 1 K 3.60
In 0.0000 0.0000 0.5000  4 Tl 3.16
In 0.3208 0.6792 0.0000  2 In 3.28, 6 Tl 3.39-3.44
In 0.3233 0.6767 0.5000  8 Tl 3.34-3.50, 4 In 3.34-3.69
In 0.6767 0.3233 0.5000  8 Tl 3.34-3.50, 4 In 3.34-3.69
In 0.6792 0.3208 0.0000  2 In 3.28, 6 Tl 3.39-3.44

=====

Entry 7:
Computed, not measured: a relaxed DySc2PaSe4 crystal at the PBE level of DFT.

Summary:
Raw formation energy in eV/f.u.: -12.1

a b c (Å): 6.8550 3.9182 6.9630
angles (deg): 90.00 108.72 90.00
Closest atoms and distances in Å follow each position.
Sites, in units of the cell vectors:
Dy 0.0000 0.0000 0.0000  6 Se 2.87
Sc 0.0000 0.5000 0.5000  6 Se 2.73-2.74
Sc 0.5000 0.0000 0.5000  6 Se 2.75
Pa 0.5000 0.5000 0.0000  6 Se 2.88-2.89
Se 0.2417 0.0000 0.7309  3 Sc 2.73-2.75, 1 Dy 2.87, 2 Pa 2.89
Se 0.2545 0.5000 0.2671  3 Sc 2.74-2.75, 2 Dy 2.87, 1 Pa 2.88
Se 0.7455 0.5000 0.7329  3 Sc 2.74-2.75, 2 Dy 2.87, 1 Pa 2.88
Se 0.7583 0.0000 0.2691  3 Sc 2.73-2.75, 1 Dy 2.87, 2 Pa 2.89

=====

Entry 8:
Computed, not measured: a relaxed K2TlZn2 crystal at the PBE level of DFT.

Summary:
Distance to the lowest polymorph of the same formula in eV/f.u.: 0.084
Energy relative to the elements in eV/atom: 0.09

a b c (Å): 11.8502 11.8502 11.8502
angles (deg): 161.72 161.72 25.96
Closest atoms and distances in Å follow each position.
Sites, in units of the cell vectors:
K 0.1172 0.1172 0.0000  4 Zn 3.60, 4 K 3.76, 4 Tl 3.80
K 0.8828 0.8828 0.0000  4 Zn 3.60, 4 K 3.76, 4 Tl 3.80
Tl 0.5000 0.5000 0.0000  4 Tl 3.76, 8 K 3.80
Zn 0.2500 0.7500 0.5000  4 Zn 2.66
Zn 0.7500 0.2500 0.5000  4 Zn 2.66

=====

Calculated DFT total energy in order - -60.9 -47.4 -52.3 -178.3 -47.8 -29.0 -52.8 -6.7 eV per cell
Calculated size of the total moment in order - 0.13 0.00 0.00 1.66 1.84 0.00 0.02 0.00 μB/atom